No. 1
{
  "formula": "TbS6F2",
  "functional": "PBE",
  "state": "optimized geometry",
  "formation_energy_uncorrected_ev_per_atom": -1.169,
  "cell": [[3.5633, 0.0000, 0.0000], [0.3300, 8.0819, 0.0000], [1.5447, 3.7491, 7.8242]],
  "species": ["Tb", "S", "S", "S", "S", "S", "S", "F", "F"],
  "fractional_positions": [[0.0000, 0.0000, 0.0000], [0.0730, 0.7118, 0.7596], [0.1596, 0.9833, 0.6799], [0.1768, 0.6385, 0.5744], [0.8232, 0.3615, 0.4256], [0.8404, 0.0167, 0.3201], [0.9270, 0.2882, 0.2404], [0.4831, 0.8185, 0.0795], [0.5169, 0.1815, 0.9205]]
}



No. 2
{
  "formula": "Cd3SiPb",
  "functional": "PBE",
  "state": "optimized geometry",
  "formation_energy_uncorrected_ev_per_atom": 0.393,
  "de_polymorph_kj_per_mol_atoms": 0.0,
  "cell": [[5.1905, 0.0000, 0.0000], [0.0000, 5.1905, 0.0000], [0.0000, 0.0000, 5.1905]],
  "species": ["Cd", "Cd", "Cd", "Si", "Pb"],
  "fractional_positions": [[0.0000, 0.0000, 0.5000], [0.0000, 0.5000, 0.0000], [0.5000, 0.0000, 0.0000], [0.0000, 0.0000, 0.0000], [0.5000, 0.5000, 0.5000]]
}



No. 3
{
  "formula": "ScAgC",
  "functional": "PBE",
  "state": "optimized geometry",
  "delta_e_f_mev_per_atom": 160,
  "cell": [[6.6103, 0.0000, 0.0000], [0.0000, 3.5346, 0.0000], [0.0000, 0.0000, 7.2530]],
  "species": ["Sc", "Sc", "Sc", "Sc", "Ag", "Ag", "Ag", "Ag", "C", "C", "C", "C"],
  "fractional_positions": [[0.0330, 0.2500, 0.1735], [0.4670, 0.7500, 0.6735], [0.5330, 0.2500, 0.3265], [0.9670, 0.7500, 0.8265], [0.1569, 0.2500, 0.5499], [0.3431, 0.7500, 0.0499], [0.6569, 0.2500, 0.9501], [0.8431, 0.7500, 0.4501], [0.1790, 0.2500, 0.8765], [0.3210, 0.7500, 0.3765], [0.6790, 0.2500, 0.6235], [0.8210, 0.7500, 0.1235]]
}



No. 4
{
  "formula": "Al4InAg",
  "functional": "PBE",
  "state": "optimized geometry",
  "delta_e_f_mev_per_atom": 196,
  "cell": [[0.0000, 3.8712, 3.8712], [3.8712, 0.0000, 3.8712], [3.8712, 3.8712, 0.0000]],
  "species": ["Al", "Al", "Al", "Al", "In", "Ag"],
  "fractional_positions": [[0.1255, 0.1255, 0.1255], [0.1255, 0.1255, 0.6236], [0.1255, 0.6236, 0.1255], [0.6236, 0.1255, 0.1255], [0.7500, 0.7500, 0.7500], [0.5000, 0.5000, 0.5000]]
}



Repeat the third record exactly.
{
  "formula": "ScAgC",
  "functional": "PBE",
  "state": "optimized geometry",
  "delta_e_f_mev_per_atom": 160,
  "cell": [[6.6103, 0.0000, 0.0000], [0.0000, 3.5346, 0.0000], [0.0000, 0.0000, 7.2530]],
  "species": ["Sc", "Sc", "Sc", "Sc", "Ag", "Ag", "Ag", "Ag", "C", "C", "C", "C"],
  "fractional_positions": [[0.0330, 0.2500, 0.1735], [0.4670, 0.7500, 0.6735], [0.5330, 0.2500, 0.3265], [0.9670, 0.7500, 0.8265], [0.1569, 0.2500, 0.5499], [0.3431, 0.7500, 0.0499], [0.6569, 0.2500, 0.9501], [0.8431, 0.7500, 0.4501], [0.1790, 0.2500, 0.8765], [0.3210, 0.7500, 0.3765], [0.6790, 0.2500, 0.6235], [0.8210, 0.7500, 0.1235]]
}